one) First-principles (PBE) data for a relaxed Hf3TiAu crystal, as listed in the Alexandria database.

a b c (Å): 4.862 4.862 4.862
angles (deg): 90.00 90.00 90.00
Space group Pm-3m (No. 221)
Symmetry-distinct sites (fractional):
1 Hf 0.000 0.000 0.500 [3 per cell]
2 Ti 0.000 0.000 0.000 [1 per cell]
3 Au 0.500 0.500 0.500 [1 per cell]

two) First-principles (PBE) data for a relaxed Hf3TiAu crystal, as listed in the Alexandria database.

a b c (Å): 5.106 5.106 5.106
angles (deg): 90.00 90.00 90.00
Space group Pm-3m (No. 221)
Symmetry-distinct sites (fractional):
1 Hf 0.000 0.000 0.500 [3 per cell]
2 Ti 0.500 0.500 0.500 [1 per cell]
3 Au 0.000 0.000 0.000 [1 per cell]

Which of them is the most stable? Correct choice: one).

one) First-principles (PBE) data for a relaxed Hf2TlAu crystal, as listed in the Alexandria database.

a b c (Å): 7.710 7.710 6.227
angles (deg): 90.00 90.00 90.00
Space group I-42d (No. 122)
Symmetry-distinct sites (fractional):
1 Hf 0.223 0.250 0.125 [8 per cell]
2 Tl 0.000 0.000 0.500 [4 per cell]
3 Au 0.000 0.000 0.000 [4 per cell]

two) First-principles (PBE) data for a relaxed Hf2TlAu crystal, as listed in the Alexandria database.

a b c (Å): 6.951 6.951 6.951
angles (deg): 90.00 90.00 90.00
Space group Fm-3m (No. 225)
Symmetry-distinct sites (fractional):
1 Hf 0.250 0.250 0.250 [8 per cell]
2 Tl 0.000 0.000 0.000 [4 per cell]
3 Au 0.000 0.000 0.500 [4 per cell]

Which of them is the most stable? Correct choice: two).

one) First-principles (PBE) data for a relaxed Hf2TlAu crystal, as listed in the Alexandria database.

a b c (Å): 4.410 4.410 4.260
angles (deg): 90.00 90.00 90.00
Space group P4/mmm (No. 123)
Symmetry-distinct sites (fractional):
1 Hf 0.000 0.500 0.000 [2 per cell]
2 Tl 0.000 0.000 0.500 [1 per cell]
3 Au 0.500 0.500 0.500 [1 per cell]

two) First-principles (PBE) data for a relaxed Hf2TlAu crystal, as listed in the Alexandria database.

a b c (Å): 3.117 3.117 8.569
angles (deg): 90.00 90.00 90.00
Space group P4/mmm (No. 123)
Symmetry-distinct sites (fractional):
1 Hf 0.000 0.000 0.233 [2 per cell]
2 Tl 0.500 0.500 0.500 [1 per cell]
3 Au 0.500 0.500 0.000 [1 per cell]

Which of them is the most stable? Correct choice: two).

one) First-principles (PBE) data for a relaxed HfTl2Au crystal, as listed in the Alexandria database.

a b c (Å): 3.2707 3.2707 32.1239
angles (deg): 90.00 90.00 120.00
Space group R-3m (No. 166, hexagonal axes)
Symmetry-distinct sites (fractional):
1 Hf 0.0000 0.0000 0.0000 [3 per cell]
2 Tl 0.0000 0.0000 0.0916 [6 per cell]
3 Au 0.0000 0.0000 0.5000 [3 per cell]

two) First-principles (PBE) data for a relaxed HfTl2Au crystal, as listed in the Alexandria database.

a b c (Å): 7.132 7.132 7.132
angles (deg): 90.00 90.00 90.00
Space group Fm-3m (No. 225)
Symmetry-distinct sites (fractional):
1 Hf 0.000 0.000 0.000 [4 per cell]
2 Tl 0.250 0.250 0.250 [8 per cell]
3 Au 0.000 0.000 0.500 [4 per cell]

three) First-principles (PBE) data for a relaxed HfTl2Au crystal, as listed in the Alexandria database.

a b c (Å): 7.965 7.965 6.068
angles (deg): 90.00 90.00 90.00
Space group I-42d (No. 122)
Symmetry-distinct sites (fractional):
1 Hf 0.000 0.000 0.000 [4 per cell]
2 Tl 0.233 0.250 0.625 [8 per cell]
3 Au 0.000 0.000 0.500 [4 per cell]

Which of them is the most stable? Correct choice: three).

one) First-principles (PBE) data for a relaxed HfZrTlAu crystal, as listed in the Alexandria database.

a b c (Å): 3.151 3.151 8.481
angles (deg): 90.00 90.00 90.00
Space group P4mm (No. 99)
Symmetry-distinct sites (fractional):
1 Hf 0.000 0.000 0.000 [1 per cell]
2 Zr 0.000 0.000 0.531 [1 per cell]
3 Tl 0.500 0.500 0.265 [1 per cell]
4 Au 0.500 0.500 0.773 [1 per cell]

two) First-principles (PBE) data for a relaxed HfZrTlAu crystal, as listed in the Alexandria database.

a b c (Å): 6.986 6.986 6.986
angles (deg): 90.00 90.00 90.00
Space group F-43m (No. 216)
Symmetry-distinct sites (fractional):
1 Hf 0.000 0.000 0.000 [4 per cell]
2 Zr 0.000 0.000 0.500 [4 per cell]
3 Tl 0.250 0.250 0.250 [4 per cell]
4 Au 0.250 0.250 0.750 [4 per cell]

Which of them is the most stable? Correct choice: one).

one) First-principles (PBE) data for a relaxed TmHfAu crystal, as listed in the Alexandria database.

a b c (Å): 7.488 7.488 5.492
angles (deg): 90.00 90.00 90.00
Space group P4_2/mmc (No. 131)
Symmetry-distinct sites (fractional):
1 Tm 0.000 0.252 0.000 [4 per cell]
2 Hf 0.315 0.500 0.500 [4 per cell]
3 Au 0.000 0.303 0.500 [4 per cell]

two) First-principles (PBE) data for a relaxed TmHfAu crystal, as listed in the Alexandria database.

a b c (Å): 3.368 3.368 11.915
angles (deg): 90.00 90.00 90.00
Space group I4mm (No. 107)
Symmetry-distinct sites (fractional):
1 Tm 0.000 0.000 0.000 [2 per cell]
2 Hf 0.000 0.000 0.685 [2 per cell]
3 Au 0.000 0.000 0.327 [2 per cell]

Which of them is the most stable? Correct choice: two).

one) First-principles (PBE) data for a relaxed Hf2VAu crystal, as listed in the Alexandria database.

a b c (Å): 4.125 4.125 19.396
angles (deg): 90.00 90.00 90.00
Space group I-42d (No. 122)
Symmetry-distinct sites (fractional):
1 Hf 0.248 0.250 0.125 [8 per cell]
2 V 0.000 0.000 0.000 [4 per cell]
3 Au 0.000 0.000 0.500 [4 per cell]

two) First-principles (PBE) data for a relaxed Hf2VAu crystal, as listed in the Alexandria database.

a b c (Å): 6.695 6.695 6.695
angles (deg): 90.00 90.00 90.00
Space group Fm-3m (No. 225)
Symmetry-distinct sites (fractional):
1 Hf 0.250 0.250 0.250 [8 per cell]
2 V 0.000 0.000 0.000 [4 per cell]
3 Au 0.000 0.000 0.500 [4 per cell]

three) First-principles (PBE) data for a relaxed Hf2VAu crystal, as listed in the Alexandria database.

a b c (Å): 3.300 3.300 6.853
angles (deg): 90.00 90.00 90.00
Space group P4/mmm (No. 123)
Symmetry-distinct sites (fractional):
1 Hf 0.000 0.000 0.233 [2 per cell]
2 V 0.500 0.500 0.000 [1 per cell]
3 Au 0.500 0.500 0.500 [1 per cell]

Which of them is the most stable? Correct choice: three).

one) First-principles (PBE) data for a relaxed HfV2Au crystal, as listed in the Alexandria database.

a b c (Å): 6.383 6.383 6.383
angles (deg): 90.00 90.00 90.00
Space group Fm-3m (No. 225)
Symmetry-distinct sites (fractional):
1 Hf 0.000 0.000 0.000 [4 per cell]
2 V 0.250 0.250 0.250 [8 per cell]
3 Au 0.000 0.000 0.500 [4 per cell]

two) First-principles (PBE) data for a relaxed HfV2Au crystal, as listed in the Alexandria database.

a b c (Å): 7.337 7.337 5.357
angles (deg): 90.00 90.00 90.00
Space group I-42d (No. 122)
Symmetry-distinct sites (fractional):
1 Hf 0.000 0.000 0.000 [4 per cell]
2 V 0.232 0.250 0.625 [8 per cell]
3 Au 0.000 0.000 0.500 [4 per cell]

Which of them is the most stable? Correct choice: one).